No. 1
ZrCo2Os, relaxed, DFT GGA-PBE; formation energy = 0.03 eV per atom; energy above the most stable polymorph in this dataset = 100 meV per atom; total energy = -33.87 eV per formula unit
1.0
3.1726 0.0000 0.0000
0.0000 3.1726 0.0000
0.0000 0.0000 5.7871
Zr Co Os
1 2 1
Cartesian
0.0000 0.0000 0.0000 Zr
0.0000 0.0000 2.7728 Co
1.5863 1.5863 1.5992 Co
1.5863 1.5863 4.1034 Os


No. 2
ZrCoOs, relaxed, DFT GGA-PBE; formation energy = -0.07 eV per atom; energy above the most stable polymorph in this dataset = 297 meV per atom; total energy = -27.10 eV per formula unit
1.0
4.1254 0.0000 0.0000
-2.0627 3.5727 0.0000
0.0000 0.0000 3.3116
Zr Co Os
1 1 1
Cartesian
0.0000 0.0000 0.0000 Zr
0.0000 2.3818 1.6558 Co
2.0627 1.1909 1.6558 Os


No. 3
Zr2CoOs, relaxed, DFT GGA-PBE; formation energy = -0.41 eV per atom; energy above the most stable polymorph in this dataset = 14 meV per atom; total energy = -37.06 eV per formula unit
1.0
4.6115 0.0000 0.0000
0.0000 4.6115 0.0000
0.0000 0.0000 3.2402
Zr Co Os
2 1 1
Cartesian
0.0000 2.3057 0.0000 Zr
2.3057 0.0000 0.0000 Zr
0.0000 0.0000 1.6201 Co
2.3057 2.3057 1.6201 Os


No. 4
Zr3CoOs2, relaxed, DFT GGA-PBE; formation energy = -0.44 eV per atom; energy above the most stable polymorph in this dataset = 6 meV per atom; total energy = -57.83 eV per formula unit
1.0
3.2483 0.0000 0.0000
0.0000 3.2483 0.0000
0.0000 0.0000 9.8793
Zr Co Os
3 1 2
Cartesian
0.0000 0.0000 0.0000 Zr
0.0000 0.0000 3.3340 Zr
0.0000 0.0000 6.5453 Zr
1.6242 1.6242 4.9397 Co
1.6242 1.6242 1.6761 Os
1.6242 1.6242 8.2032 Os


No. 5
ZrCoOs, relaxed, DFT GGA-PBE; formation energy = -0.12 eV per atom; energy above the most stable polymorph in this dataset = 250 meV per atom; total energy = -27.24 eV per formula unit
1.0
3.8398 0.0000 0.0000
0.0000 3.8398 0.0000
0.0000 0.0000 13.0542
Zr Co Os
4 4 4
Cartesian
0.0000 0.0000 2.2535 Zr
0.0000 0.0000 10.8008 Zr
1.9199 1.9199 4.2736 Zr
1.9199 1.9199 8.7806 Zr
0.0000 0.0000 4.8947 Co
0.0000 0.0000 8.1595 Co
1.9199 1.9199 1.6324 Co
1.9199 1.9199 11.4218 Co
0.0000 1.9199 0.0000 Os
0.0000 1.9199 6.5271 Os
1.9199 0.0000 0.0000 Os
1.9199 0.0000 6.5271 Os


No. 6
Zr4Co3Os, relaxed, DFT GGA-PBE; formation energy = -0.34 eV per atom; total energy = -69.49 eV per formula unit
1.0
2.2853 1.3194 7.4315
-2.2853 1.3194 7.4315
0.0000 -2.6388 7.4315
Zr Co Os
4 3 1
Cartesian
0.0000 0.0000 2.7585 Zr
0.0000 0.0000 8.3335 Zr
0.0000 0.0000 13.9610 Zr
0.0000 0.0000 19.5360 Zr
0.0000 0.0000 0.0000 Co
0.0000 0.0000 5.5715 Co
0.0000 0.0000 16.7230 Co
0.0000 0.0000 11.1472 Os